# PBE CaScRe, relaxed
data_CaScRe
_chemical_formula_sum 'Ca4 Sc4 Re4'
_space_group_name_H-M_alt 'F -4 3 m'
_space_group_IT_number 216
_space_group_name_Hall 'F -4 2 3'
_cell_length_a 6.649
_cell_length_b 6.649
_cell_length_c 6.649
_cell_angle_alpha 90.00
_cell_angle_beta 90.00
_cell_angle_gamma 90.00
loop_
_atom_site_label
_atom_site_type_symbol
_atom_site_fract_x
_atom_site_fract_y
_atom_site_fract_z
_atom_site_occupancy
Ca1 Ca 0.000 0.000 0.000 1
Sc1 Sc 0.000 0.000 0.500 1
Re1 Re 0.250 0.250 0.750 1
# Calculated volume: 293.9 Å³/cell
# Distance to the lowest polymorph of the same formula: 475 meV per atom
# DOS(E_F): 0.955 states/eV/atom